DFT (PBE) results for YBTe2I after structural relaxation.

Results
Density of states at the Fermi level in states/eV/f.u.: 6.274
E in eV/atom: -3.63
ΔE_f (raw) in eV/atom: 0.57
Offset from the most stable computed form in eV/f.u.: 2.395

Cell lengths 5.8949, 5.8949, 5.9530 Å; angles 90.00, 90.00, 90.00 degrees
Positions (direct):
Y1 0.0000 0.0000 0.0000
B1 0.5000 0.5000 0.5000
Te1 0.0000 0.5000 0.0000
Te2 0.5000 0.0000 0.0000
I1 0.0000 0.0000 0.5000